(1)
The following is a PBE-GGA calculation of crystalline Ho2AsO at its relaxed geometry, from Alexandria via LeMat-Bulk.

Calculated values
**Final energy**: -6.927 eV per atom
**Polymorph energy (0 for the lowest one)**: 0.000 eV/atom
**Raw formation energy**: -2236 meV per atom
**SG**: Pmn2_1 (31)

Unit cell a=4.1469 b=3.8574 c=10.4237 alpha=90.00 beta=90.00 gamma=90.00
With the nearest neighbours (Å) after each atom.
Fractional coordinates of all 8 atoms:
Ho 0.7022 0.8583 0.2060  4 O 2.24-2.26
Ho 0.6995 0.3584 0.7132  5 As 2.91-2.92
Ho 0.1995 0.8584 0.5028  5 As 2.91-2.92
Ho 0.2022 0.3583 0.0100  4 O 2.24-2.26
As 0.1995 0.8584 0.7824  7 Ho 2.91-3.06
As 0.6995 0.3584 0.4335  7 Ho 2.91-3.06
O 0.2027 0.8583 0.1236  4 Ho 2.24-2.26
O 0.7027 0.3583 0.0924  4 Ho 2.24-2.26

=====

(2)
The following is a PBE-GGA calculation of crystalline Ho4As3O at its relaxed geometry, from Alexandria via LeMat-Bulk.

Calculated values
**Final energy**: -6.426 eV per atom
**Raw formation energy**: -1774 meV per atom
**SG**: Pmn2_1 (31)

Unit cell a=5.7397 b=5.7372 c=11.2159 alpha=90.00 beta=90.00 gamma=90.00
With the nearest neighbours (Å) after each atom.
Fractional coordinates of all 16 atoms:
Ho 0.0624 0.8201 0.0000  1 O 2.16
Ho 0.6335 0.2522 0.0000  1 O 2.16
Ho 0.0627 0.2478 0.2473  1 O 2.81, 5 As 2.83-2.87
Ho 0.5627 0.7522 0.2527  1 O 2.81, 5 As 2.83-2.87
Ho 0.1335 0.7478 0.5000  1 O 2.16
Ho 0.5624 0.1799 0.5000  1 O 2.16
Ho 0.5627 0.7522 0.7473  1 O 2.81, 5 As 2.83-2.87
Ho 0.0627 0.2478 0.7527  1 O 2.81, 5 As 2.83-2.87
As 0.5632 0.7522 0.0000  6 Ho 2.83-2.90
As 0.0631 0.7473 0.2499  6 Ho 2.83-2.87
As 0.5631 0.2527 0.2501  6 Ho 2.83-2.87
As 0.0632 0.2478 0.5000  6 Ho 2.83-2.90
As 0.5631 0.2527 0.7499  6 Ho 2.83-2.87
As 0.0631 0.7473 0.7501  6 Ho 2.83-2.87
O 0.0045 0.1915 0.0000  2 Ho 2.16
O 0.5045 0.8085 0.5000  2 Ho 2.16

=====

(3)
The following is a PBE-GGA calculation of crystalline HoAsO3 at its relaxed geometry, from Alexandria via LeMat-Bulk.

Calculated values
**Final energy**: -7.251 eV per atom
**Raw formation energy**: -2430 meV per atom
**SG**: R3m (160)

Unit cell a=4.4624 b=4.4624 c=4.4624 alpha=86.17 beta=86.17 gamma=86.17
With the nearest neighbours (Å) after each atom.
Fractional coordinates of all 5 atoms:
Ho 0.2318 0.2318 0.2318  6 O 2.19-2.40
As 0.8791 0.8791 0.8791  3 O 1.83
O 0.7187 0.1477 0.1477  1 As 1.83
O 0.1477 0.7187 0.1477  1 As 1.83
O 0.1477 0.1477 0.7187  1 As 1.83

=====

(4)
The following is a PBE-GGA calculation of crystalline Ho3AsO3 at its relaxed geometry, from Alexandria via LeMat-Bulk.

Calculated values
**Final energy**: -7.636 eV per atom
**Raw formation energy**: -2885 meV per atom
**SG**: R-3 (148)

Unit cell a=6.5926 b=6.5926 c=7.8535 alpha=65.18 beta=65.18 gamma=60.00
With the nearest neighbours (Å) after each atom.
Fractional coordinates of all 14 atoms:
Ho 0.2577 0.5418 0.2937  4 O 2.25-2.31
Ho 0.9067 0.2577 0.2937  4 O 2.25-2.31
Ho 0.5418 0.9067 0.2937  4 O 2.25-2.31
Ho 0.4582 0.0933 0.7063  4 O 2.25-2.31
Ho 0.0933 0.7423 0.7063  4 O 2.25-2.31
Ho 0.7423 0.4582 0.7063  4 O 2.25-2.31
As 0.3331 0.3331 0.0006  6 Ho 2.91-2.95
As 0.6669 0.6669 0.9994  6 Ho 2.91-2.95
O 0.4285 0.8099 0.6274  4 Ho 2.25-2.31
O 0.8099 0.1342 0.6274  4 Ho 2.25-2.31
O 0.1342 0.4285 0.6274  4 Ho 2.25-2.31
O 0.8658 0.5715 0.3726  4 Ho 2.25-2.31
O 0.1901 0.8658 0.3726  4 Ho 2.25-2.31
O 0.5715 0.1901 0.3726  4 Ho 2.25-2.31

=====

(5)
The following is a PBE-GGA calculation of crystalline HoAs2O6 at its relaxed geometry, from Alexandria via LeMat-Bulk.

Calculated values
**Final energy**: -6.441 eV per atom
**Raw formation energy**: -1593 meV per atom
**SG**: R3 (146)

Unit cell a=5.7665 b=5.7665 c=6.8099 alpha=64.95 beta=64.95 gamma=60.00
With the nearest neighbours (Å) after each atom.
Fractional coordinates of all 9 atoms:
Ho 0.3326 0.3326 0.0021  6 O 2.28
As 0.7374 0.7374 0.7877  3 O 1.70
As 0.5945 0.5945 0.2164  3 O 1.70
O 0.6447 0.5262 0.7490  1 As 1.70
O 0.0800 0.6447 0.7490  1 As 1.70
O 0.5262 0.0800 0.7490  1 As 1.70
O 0.3493 0.4902 0.2498  1 As 1.70
O 0.9107 0.3493 0.2498  1 As 1.70
O 0.4902 0.9107 0.2498  1 As 1.70

=====

(6)
The following is a PBE-GGA calculation of crystalline Ho12As3O5 at its relaxed geometry, from Alexandria via LeMat-Bulk.

Calculated values
**Final energy**: -6.453 eV per atom
**Raw formation energy**: -1770 meV per atom
**SG**: Ia-3d (230)

Unit cell a=13.0950 b=13.0950 c=13.0950 alpha=109.47 beta=109.47 gamma=109.47
With the nearest neighbours (Å) after each atom.
Fractional coordinates of all 80 atoms:
As 0.7500 0.3750 0.1250  8 Ho 2.99-3.06
As 0.8750 0.7500 0.1250  8 Ho 2.99-3.06
As 0.3750 0.7500 0.6250  8 Ho 2.99-3.06
As 0.2500 0.1250 0.3750  8 Ho 2.99-3.06
As 0.8750 0.1250 0.2500  8 Ho 2.99-3.06
As 0.3750 0.6250 0.2500  8 Ho 2.99-3.06
As 0.6250 0.3750 0.7500  8 Ho 2.99-3.06
As 0.1250 0.8750 0.7500  8 Ho 2.99-3.06
As 0.7500 0.8750 0.6250  8 Ho 2.99-3.06
As 0.6250 0.2500 0.3750  8 Ho 2.99-3.06
As 0.1250 0.2500 0.8750  8 Ho 2.99-3.06
As 0.2500 0.6250 0.8750  8 Ho 2.99-3.06
Ho 0.7020 0.1121 0.0150  1 O 2.16
Ho 0.3130 0.5150 0.4029  1 O 2.16
Ho 0.9850 0.3879 0.2980  1 O 2.16
Ho 0.5150 0.2020 0.1121  1 O 2.16
Ho 0.5899 0.7020 0.6870  1 O 2.16
Ho 0.9850 0.5971 0.1870  1 O 2.16
Ho 0.3130 0.7980 0.4101  1 O 2.16
Ho 0.0971 0.9101 0.1121  1 O 2.16
Ho 0.5971 0.9850 0.6870  1 O 2.16
Ho 0.7020 0.5899 0.1870  1 O 2.16
Ho 0.7980 0.4850 0.3879  1 O 2.16
Ho 0.8130 0.9029 0.0150  1 O 2.16
Ho 0.1121 0.7020 0.5150  1 O 2.16
Ho 0.3879 0.4029 0.0899  1 O 2.16
Ho 0.0899 0.9029 0.3879  1 O 2.16
Ho 0.4101 0.1121 0.5971  1 O 2.16
Ho 0.0899 0.1870 0.2020  1 O 2.16
Ho 0.4850 0.6870 0.0971  1 O 2.16
Ho 0.8130 0.9101 0.2980  1 O 2.16
Ho 0.1121 0.4101 0.0971  1 O 2.16
Ho 0.3879 0.9850 0.7980  1 O 2.16
Ho 0.5971 0.6121 0.4101  1 O 2.16
Ho 0.9029 0.8130 0.5150  1 O 2.16
Ho 0.7980 0.3130 0.9101  1 O 2.16
Ho 0.4029 0.3879 0.5899  1 O 2.16
Ho 0.0971 0.1870 0.4850  1 O 2.16
Ho 0.2020 0.6870 0.0899  1 O 2.16
Ho 0.1870 0.0899 0.7020  1 O 2.16
Ho 0.6121 0.0150 0.2020  1 O 2.16
Ho 0.8879 0.5899 0.9029  1 O 2.16
Ho 0.5150 0.3130 0.9029  1 O 2.16
Ho 0.5899 0.8879 0.4029  1 O 2.16
Ho 0.9101 0.8130 0.7980  1 O 2.16
Ho 0.9101 0.0971 0.6121  1 O 2.16
Ho 0.8879 0.2980 0.4850  1 O 2.16
Ho 0.1870 0.0971 0.9850  1 O 2.16
Ho 0.6121 0.5971 0.9101  1 O 2.16
Ho 0.4029 0.0150 0.3130  1 O 2.16
Ho 0.2980 0.4101 0.8130  1 O 2.16
Ho 0.2020 0.5150 0.6121  1 O 2.16
Ho 0.9029 0.0899 0.8879  1 O 2.16
Ho 0.6870 0.2020 0.5899  1 O 2.16
Ho 0.4850 0.7980 0.8879  1 O 2.16
Ho 0.0150 0.4029 0.8130  1 O 2.16
Ho 0.4101 0.2980 0.3130  1 O 2.16
Ho 0.0150 0.6121 0.7020  1 O 2.16
Ho 0.6870 0.4850 0.5971  1 O 2.16
Ho 0.2980 0.8879 0.9850  1 O 2.16
O 0.1250 0.3750 0.2500  4 Ho 2.16
O 0.0000 0.5000 0.0000  6 Ho 2.46
O 0.0000 0.0000 0.0000  6 Ho 2.46
O 0.3750 0.2500 0.1250  4 Ho 2.16
O 0.5000 0.0000 0.5000  6 Ho 2.46
O 0.5000 0.5000 0.0000  6 Ho 2.46
O 0.1250 0.7500 0.3750  4 Ho 2.16
O 0.7500 0.1250 0.8750  4 Ho 2.16
O 0.7500 0.6250 0.3750  4 Ho 2.16
O 0.3750 0.1250 0.7500  4 Ho 2.16
O 0.6250 0.8750 0.2500  4 Ho 2.16
O 0.5000 0.5000 0.5000  6 Ho 2.46
O 0.5000 0.0000 0.0000  6 Ho 2.46
O 0.0000 0.0000 0.5000  6 Ho 2.46
O 0.2500 0.3750 0.6250  4 Ho 2.16
O 0.2500 0.8750 0.1250  4 Ho 2.16
O 0.0000 0.5000 0.5000  6 Ho 2.46
O 0.8750 0.2500 0.6250  4 Ho 2.16
O 0.6250 0.7500 0.8750  4 Ho 2.16
O 0.8750 0.6250 0.7500  4 Ho 2.16

=====

(7)
The following is a PBE-GGA calculation of crystalline Ho2AsO at its relaxed geometry, from Alexandria via LeMat-Bulk.

Calculated values
**Final energy**: -6.697 eV per atom
**Polymorph energy (0 for the lowest one)**: 0.230 eV/atom
**Raw formation energy**: -2006 meV per atom
**SG**: R-3m (166)

Unit cell a=3.7693 b=3.7693 c=6.4816 alpha=73.10 beta=73.10 gamma=60.00
With the nearest neighbours (Å) after each atom.
Fractional coordinates of all 4 atoms:
As 0.0000 0.0000 0.0000  6 Ho 2.78
Ho 0.2386 0.2386 0.2843  3 O 2.54, 3 As 2.78
Ho 0.7614 0.7614 0.7157  3 O 2.54, 3 As 2.78
O 0.5000 0.5000 0.5000  6 Ho 2.54

=====

(8)
The following is a PBE-GGA calculation of crystalline HoAs2PbO8 at its relaxed geometry, from Alexandria via LeMat-Bulk.

Calculated values
**Final energy**: -6.393 eV per atom
**Raw formation energy**: -1622 meV per atom
**SG**: P-3m1 (164)

Unit cell a=5.6783 b=5.6783 c=7.3433 alpha=90.00 beta=90.00 gamma=120.00
With the nearest neighbours (Å) after each atom.
Fractional coordinates of all 12 atoms:
Ho 0.0000 0.0000 0.5000  6 O 2.23
As 0.6667 0.3333 0.2232  4 O 1.71-1.72
As 0.3333 0.6667 0.7768  4 O 1.71-1.72
Pb 0.0000 0.0000 0.0000  6 O 2.73
O 0.3333 0.6667 0.0110  1 As 1.72
O 0.3361 0.1689 0.2966  1 As 1.71
O 0.8311 0.1672 0.2966  1 As 1.71
O 0.6667 0.3333 0.9890  1 As 1.72
O 0.1689 0.8328 0.7034  1 As 1.71
O 0.6639 0.8311 0.7034  1 As 1.71
O 0.1672 0.3361 0.7034  1 As 1.71
O 0.8328 0.6639 0.2966  1 As 1.71

=====

(9)
The following is a PBE-GGA calculation of crystalline HoAsPbO5 at its relaxed geometry, from Alexandria via LeMat-Bulk.

Calculated values
**Final energy**: -6.746 eV per atom
**Raw formation energy**: -2030 meV per atom
**SG**: C2/c (15)

Unit cell a=6.1390 b=6.1390 c=7.8482 alpha=103.96 beta=103.96 gamma=107.51
With the nearest neighbours (Å) after each atom.
Fractional coordinates of all 16 atoms:
Ho 0.0000 0.0000 0.5000  6 O 2.15-2.35
Ho 0.0000 0.0000 0.0000  6 O 2.15-2.35
As 0.6816 0.3184 0.2500  4 O 1.71-1.75
As 0.3184 0.6816 0.7500  4 O 1.71-1.75
Pb 0.3107 0.6893 0.2500  1 O 2.19
Pb 0.6893 0.3107 0.7500  1 O 2.19
O 0.0896 0.9104 0.2500  2 Ho 2.15, 1 Pb 2.19
O 0.9104 0.0896 0.7500  2 Ho 2.15, 1 Pb 2.19
O 0.8888 0.3186 0.1308  1 As 1.75
O 0.1112 0.6814 0.8692  1 As 1.75
O 0.6814 0.1112 0.3692  1 As 1.75
O 0.3186 0.8888 0.6308  1 As 1.75
O 0.7611 0.5965 0.4128  1 As 1.71
O 0.2389 0.4035 0.5872  1 As 1.71
O 0.4035 0.2389 0.0872  1 As 1.71
O 0.5965 0.7611 0.9128  1 As 1.71

=====

(10)
The following is a PBE-GGA calculation of crystalline HoAs2PdO8 at its relaxed geometry, from Alexandria via LeMat-Bulk.

Calculated values
**Final energy**: -6.263 eV per atom
**Raw formation energy**: -1369 meV per atom
**SG**: I-4m2 (119)

Unit cell a=5.9362 b=5.9362 c=5.9362 alpha=106.61 beta=106.61 gamma=115.36
With the nearest neighbours (Å) after each atom.
Fractional coordinates of all 12 atoms:
Ho 0.0000 0.0000 0.0000  8 O 2.30-2.38
As 0.7500 0.2500 0.5000  4 O 1.72
As 0.5000 0.5000 0.0000  4 O 1.73
Pd 0.2500 0.7500 0.5000  8 O 2.31-2.42
O 0.3899 0.0724 0.3175  1 As 1.72
O 0.3158 0.4961 0.1803  1 As 1.73
O 0.3158 0.1356 0.8197  1 As 1.73
O 0.7550 0.0724 0.6825  1 As 1.72
O 0.8644 0.6842 0.1803  1 As 1.73
O 0.9276 0.2450 0.3175  1 As 1.72
O 0.9276 0.6101 0.6825  1 As 1.72
O 0.5039 0.6842 0.8197  1 As 1.73

=====

Fermi-level density of states values, unit states/eV/f.u., following the record order: 2.1 2.5 0.0 0.2 2.6 17.3 1.7 10.5 0.0 6.2.